Ag3SeBr: relaxed, GGA-PBE.

crystal system = monoclinic
magnetization = 0.00 μB/f.u.
E_form (uncorrected) = -0.83 eV/f.u.
electronic total energy = -2.9074 eV per atom

Cell: 10.7911 6.0087 8.7728 Å, 90.00 108.55 90.00°
With the nearest neighbours (Å) after each atom.
Positions (direct):
Ag 0.0030 0.0028 0.2525  2 Se 2.57
Ag 0.0030 0.4972 0.7525  2 Se 2.57
Ag 0.2857 0.5133 0.3575  1 Se 2.57, 1 Br 2.59
Ag 0.2857 0.9867 0.8575  1 Se 2.57, 1 Br 2.59
Ag 0.2923 0.0184 0.3660  1 Se 2.56, 1 Br 2.59
Ag 0.2923 0.4816 0.8660  1 Se 2.56, 1 Br 2.59
Ag 0.7077 0.5184 0.1340  1 Se 2.56, 1 Br 2.59
Ag 0.7077 0.9816 0.6340  1 Se 2.56, 1 Br 2.59
Ag 0.7143 0.0133 0.1425  1 Se 2.57, 1 Br 2.59
Ag 0.7143 0.4867 0.6425  1 Se 2.57, 1 Br 2.59
Ag 0.9970 0.5028 0.2475  2 Se 2.57
Ag 0.9970 0.9972 0.7475  2 Se 2.57
Se 0.1436 0.2441 0.6376  4 Ag 2.56-2.57
Se 0.1436 0.2559 0.1376  4 Ag 2.56-2.57
Se 0.8564 0.7441 0.8624  4 Ag 2.56-2.57
Se 0.8564 0.7559 0.3624  4 Ag 2.56-2.57
Br 0.4182 0.7442 0.0984  2 Ag 2.59
Br 0.4182 0.7558 0.5984  2 Ag 2.59
Br 0.5818 0.2442 0.4016  2 Ag 2.59
Br 0.5818 0.2558 0.9016  2 Ag 2.59

Ca2Al3HgAu4: relaxed, GGA-PBE.

crystal system = tetragonal
ΔE_f = -5.47 eV/f.u.
magnetization = 0.00 μB/f.u.
electronic total energy = -3.4117 eV per atom

Cell: 4.3117 4.3117 11.5613 Å, 90.00 90.00 90.00°
With the nearest neighbours (Å) after each atom.
Positions (direct):
Ca 0.0000 0.5000 0.2459  8 Au 3.23-3.57, 4 Al 3.36
Ca 0.5000 0.0000 0.7541  8 Au 3.23-3.57, 4 Al 3.36
Al 0.0000 0.5000 0.8754  5 Au 2.48-2.59
Al 0.5000 0.0000 0.1246  5 Au 2.48-2.59
Al 0.5000 0.5000 0.5000  4 Au 2.84, 4 Hg 3.05
Hg 0.0000 0.0000 0.5000  4 Au 2.84, 4 Al 3.05
Au 0.0000 0.0000 0.0000  4 Al 2.59
Au 0.0000 0.5000 0.6606  1 Al 2.48
Au 0.5000 0.0000 0.3394  1 Al 2.48
Au 0.5000 0.5000 0.0000  4 Al 2.59

Dy2Zn6Au3: relaxed, GGA-PBE.

crystal system = hexagonal
ΔE_f = -4.47 eV/f.u.
magnetization = 0.00 μB/f.u.
electronic total energy = -2.8322 eV per atom

Cell: 7.7044 7.7044 4.1183 Å, 90.00 90.00 120.00°
With the nearest neighbours (Å) after each atom.
Positions (direct):
Dy 0.3333 0.6667 0.0000  6 Au 3.12, 3 Zn 3.25
Dy 0.6667 0.3333 0.0000  6 Au 3.12, 3 Zn 3.25
Zn 0.0000 0.1919 0.0000  6 Zn 2.56-2.75, 2 Au 2.63
Zn 0.0000 0.7369 0.5000  3 Au 2.56-2.74, 4 Zn 2.75
Zn 0.1919 0.0000 0.0000  6 Zn 2.56-2.75, 2 Au 2.63
Zn 0.2631 0.2631 0.5000  3 Au 2.56-2.74, 4 Zn 2.75
Zn 0.7369 0.0000 0.5000  3 Au 2.56-2.74, 4 Zn 2.75
Zn 0.8081 0.8081 0.0000  6 Zn 2.56-2.75, 2 Au 2.63
Au 0.0000 0.4044 0.5000  5 Zn 2.56-2.74
Au 0.4044 0.0000 0.5000  5 Zn 2.56-2.74
Au 0.5956 0.5956 0.5000  5 Zn 2.56-2.74

KLi2P: relaxed, GGA-PBE.

crystal system = tetragonal
ΔE_f = -1.41 eV/f.u.
magnetization = 0.00 μB/f.u.
electronic total energy = -2.9371 eV per atom

Cell: 8.4898 8.4898 8.4898 Å, 142.60 142.60 53.93°
With the nearest neighbours (Å) after each atom.
Positions (direct):
K 0.3750 0.6250 0.7500  8 Li 3.58, 4 P 3.85
K 0.6250 0.3750 0.2500  8 Li 3.58, 4 P 3.85
Li 0.0000 0.0000 0.0000  2 P 2.33
Li 0.0000 0.0000 0.5000  2 P 2.33
Li 0.0000 0.5000 0.0000  2 P 2.33
Li 0.5000 0.0000 0.5000  2 P 2.33
P 0.1250 0.8750 0.2500  4 Li 2.33
P 0.8750 0.1250 0.7500  4 Li 2.33

Re3Au: relaxed, GGA-PBE.

crystal system = orthorhombic
ΔE_f = 2.22 eV/f.u.
magnetization = 0.00 μB/f.u.
electronic total energy = -9.5998 eV per atom

Cell: 5.6434 5.6434 5.6434 Å, 150.77 131.46 57.67°
With the nearest neighbours (Å) after each atom.
Positions (direct):
Re 0.0000 0.0000 0.0000  6 Re 2.60-2.85, 4 Au 2.72
Re 0.2194 0.7194 0.5000  8 Re 2.60-2.85
Re 0.7806 0.2806 0.5000  8 Re 2.60-2.85
Au 0.5000 0.5000 0.0000  4 Re 2.72, 2 Au 2.85

Ca2Pm6Sm3: relaxed, GGA-PBE.

crystal system = trigonal
ΔE_f = 0.33 eV/f.u.
magnetization = 0.00 μB/f.u.
electronic total energy = -4.2126 eV per atom

Cell: 33.4014 33.4014 33.4014 Å, 6.30 6.30 6.30°
With the nearest neighbours (Å) after each atom.
Positions (direct):
Ca 0.0463 0.0463 0.0463  6 Ca 3.67, 6 Pm 3.84-3.85
Ca 0.9537 0.9537 0.9537  6 Ca 3.67, 6 Pm 3.84-3.85
Pm 0.1371 0.1371 0.1371  6 Sm 3.64-3.66, 6 Pm 3.67
Pm 0.3191 0.3191 0.3191  9 Pm 3.55-3.67, 3 Ca 3.85
Pm 0.4117 0.4117 0.4117  3 Sm 3.59, 6 Pm 3.67, 3 Ca 3.84
Pm 0.5883 0.5883 0.5883  3 Sm 3.59, 6 Pm 3.67, 3 Ca 3.84
Pm 0.6809 0.6809 0.6809  9 Pm 3.55-3.67, 3 Ca 3.85
Pm 0.8629 0.8629 0.8629  6 Sm 3.64-3.66, 6 Pm 3.67
Sm 0.2261 0.2261 0.2261  6 Pm 3.59-3.66, 6 Sm 3.67
Sm 0.5000 0.5000 0.5000  6 Pm 3.64, 6 Sm 3.67
Sm 0.7739 0.7739 0.7739  6 Pm 3.59-3.66, 6 Sm 3.67

Nd3HoPt2: relaxed, GGA-PBE.

crystal system = orthorhombic
ΔE_f = -4.47 eV/f.u.
magnetization = 0.00 μB/f.u.
electronic total energy = -5.9055 eV per atom

Cell: 8.1606 8.1606 8.1606 Å, 146.67 146.17 48.22°
With the nearest neighbours (Å) after each atom.
Positions (direct):
Nd 0.0000 0.0000 0.0000  4 Pt 3.02, 4 Ho 3.33
Nd 0.1866 0.6866 0.5000  1 Pt 2.80
Nd 0.8134 0.3134 0.5000  1 Pt 2.80
Ho 0.5000 0.5000 0.0000  4 Pt 2.99, 4 Nd 3.33
Pt 0.3748 0.8748 0.5000  3 Nd 2.80-3.02, 2 Ho 2.99
Pt 0.6252 0.1252 0.5000  3 Nd 2.80-3.02, 2 Ho 2.99

RbPu2O6: relaxed, GGA-PBE.

crystal system = cubic
magnetization = 5.00 μB/f.u.
E_form (uncorrected) = -23.06 eV/f.u.
electronic total energy = -9.1604 eV per atom
offset from the most stable computed form = 0.00 kJ/mol of atoms

Cell: 7.8377 7.8377 7.8377 Å, 60.00 60.00 60.00°
With the nearest neighbours (Å) after each atom.
Positions (direct):
Rb 0.1250 0.1250 0.1250  6 O 3.42
Rb 0.8750 0.8750 0.8750  6 O 3.42
Pu 0.0000 0.5000 0.5000  6 O 2.09
Pu 0.5000 0.0000 0.5000  6 O 2.09
Pu 0.5000 0.5000 0.0000  6 O 2.09
Pu 0.5000 0.5000 0.5000  6 O 2.09
O 0.1835 0.1835 0.5665  2 Pu 2.09
O 0.1835 0.5665 0.1835  2 Pu 2.09
O 0.1835 0.5665 0.5665  2 Pu 2.09
O 0.4335 0.4335 0.8165  2 Pu 2.09
O 0.4335 0.8165 0.4335  2 Pu 2.09
O 0.4335 0.8165 0.8165  2 Pu 2.09
O 0.5665 0.1835 0.1835  2 Pu 2.09
O 0.5665 0.1835 0.5665  2 Pu 2.09
O 0.5665 0.5665 0.1835  2 Pu 2.09
O 0.8165 0.4335 0.4335  2 Pu 2.09
O 0.8165 0.4335 0.8165  2 Pu 2.09
O 0.8165 0.8165 0.4335  2 Pu 2.09